Density functional theory data (PBE-GGA) for an optimized crystal structure of Rb4SbCl.

As for the uncorrected formation energy: -0.8374 eV per atom.

It has space group Fddd (No. 70, origin choice 2), with a = 11.911 Å, b = 11.922 Å, c = 17.201 Å, α = 90.00°, β = 90.00° and γ = 90.00°. The asymmetric unit holds Rb at (0.124, 0.373, 0.250), Sb at (0.125, 0.125, 0.125) and Cl at (0.125, 0.125, 0.625).

***

Density functional theory data (PBE-GGA) for an optimized crystal structure of Rb3SbCl7.

As for the uncorrected formation energy: -1.3926 eV per atom.

It has space group Cm (No. 8), with a = 9.999 Å, b = 10.163 Å, c = 8.291 Å, α = 90.00°, β = 107.71° and γ = 90.00°. The asymmetric unit holds Rb at (0.000, 0.000, 0.000), Rb at (0.027, 0.272, 0.547), Sb at (0.490, 0.000, 0.037), Cl at (0.139, 0.314, 0.207), Cl at (0.145, 0.500, 0.845), Cl at (0.337, 0.176, 0.849), Cl at (0.343, 0.000, 0.248) and Cl at (0.399, 0.500, 0.601).

***

Density functional theory data (PBE-GGA) for an optimized crystal structure of RbSbCl6.

As for the uncorrected formation energy: -1.0447 eV per atom. The energy above the lowest structure with this stoichiometry is 0.128 eV per formula unit.

It has space group C2/m (No. 12), with a = 8.315 Å, b = 10.374 Å, c = 6.637 Å, α = 90.00°, β = 110.30° and γ = 90.00°. The asymmetric unit holds Rb at (0.000, 0.000, 0.000), Sb at (0.000, 0.500, 0.500), Cl at (0.109, 0.336, 0.773) and Cl at (0.228, 0.000, 0.556).

***

Density functional theory data (PBE-GGA) for an optimized crystal structure of RbSbCl3.

As for the uncorrected formation energy: -1.0910 eV per atom. The energy above the lowest structure with this stoichiometry is 0.566 eV per formula unit.

It has space group Pm-3m (No. 221), with a = 5.548 Å, b = 5.548 Å, c = 5.548 Å, α = 90.00°, β = 90.00° and γ = 90.00°. The asymmetric unit holds Rb at (0.000, 0.000, 0.000), Sb at (0.500, 0.500, 0.500) and Cl at (0.000, 0.500, 0.500).

***

Density functional theory data (PBE-GGA) for an optimized crystal structure of RbSbCl3.

As for the uncorrected formation energy: -0.0771 eV per atom. The energy above the lowest structure with this stoichiometry is 5.636 eV per formula unit.

It has space group Pm-3m (No. 221), with a = 5.810 Å, b = 5.810 Å, c = 5.810 Å, α = 90.00°, β = 90.00° and γ = 90.00°. The asymmetric unit holds Rb at (0.000, 0.000, 0.000), Sb at (0.500, 0.500, 0.500) and Cl at (0.000, 0.000, 0.500).

***

Density functional theory data (PBE-GGA) for an optimized crystal structure of RbSb2Cl.

As for the uncorrected formation energy: 0.2920 eV per atom. The energy above the lowest structure with this stoichiometry is 3.631 eV per formula unit.

It has space group Fm-3m (No. 225), with a = 7.994 Å, b = 7.994 Å, c = 7.994 Å, α = 90.00°, β = 90.00° and γ = 90.00°. The asymmetric unit holds Rb at (0.000, 0.000, 0.000), Sb at (0.250, 0.250, 0.250) and Cl at (0.000, 0.000, 0.500).

***

Density functional theory data (PBE-GGA) for an optimized crystal structure of Rb5SbCl8.

As for the uncorrected formation energy: -1.5874 eV per atom.

It has space group I-4 (No. 82), with a = 9.610 Å, b = 9.610 Å, c = 9.708 Å, α = 90.00°, β = 90.00° and γ = 90.00°. The asymmetric unit holds Rb at (0.000, 0.000, 0.000), Rb at (0.126, 0.743, 0.363), Sb at (0.000, 0.500, 0.750), Cl at (0.065, 0.772, 0.692) and Cl at (0.068, 0.665, 0.023).

***

Density functional theory data (PBE-GGA) for an optimized crystal structure of RbSb2Cl6.

As for the uncorrected formation energy: -1.0073 eV per atom. The energy above the lowest structure with this stoichiometry is 0.000 eV per formula unit.

It has space group C2/m (No. 12), with a = 13.347 Å, b = 5.796 Å, c = 10.085 Å, α = 90.00°, β = 119.25° and γ = 90.00°. The asymmetric unit holds Rb at (0.000, 0.000, 0.000), Sb at (0.181, 0.000, 0.588), Cl at (0.047, 0.000, 0.703), Cl at (0.148, 0.500, 0.156) and Cl at (0.193, 0.500, 0.574).

***

Density functional theory data (PBE-GGA) for an optimized crystal structure of Rb3SbCl.

As for the uncorrected formation energy: -0.8227 eV per atom. The energy above the lowest structure with this stoichiometry is 0.000 eV per formula unit.

It has space group Pm-3m (No. 221), with a = 6.220 Å, b = 6.220 Å, c = 6.220 Å, α = 90.00°, β = 90.00° and γ = 90.00°. The asymmetric unit holds Rb at (0.000, 0.000, 0.500), Sb at (0.500, 0.500, 0.500) and Cl at (0.000, 0.000, 0.000).

***

Density functional theory data (PBE-GGA) for an optimized crystal structure of Rb2SbCl7.

As for the uncorrected formation energy: -1.0816 eV per atom.

It has space group C2/c (No. 15), with a = 16.611 Å, b = 8.122 Å, c = 12.744 Å, α = 90.00°, β = 129.45° and γ = 90.00°. The asymmetric unit holds Rb at (0.139, 0.133, 0.032), Sb at (0.000, 0.310, 0.250), Cl at (0.000, 0.376, 0.750), Cl at (0.086, 0.039, 0.236), Cl at (0.128, 0.300, 0.491) and Cl at (0.141, 0.402, 0.232).

***

Density functional theory data (PBE-GGA) for an optimized crystal structure of Rb2SbCl5.

As for the uncorrected formation energy: -1.4441 eV per atom. The energy above the lowest structure with this stoichiometry is 0.000 eV per formula unit.

It has space group I4mm (No. 107), with a = 7.824 Å, b = 7.824 Å, c = 9.140 Å, α = 90.00°, β = 90.00° and γ = 90.00°. The asymmetric unit holds Rb at (0.000, 0.500, 0.000), Sb at (0.000, 0.000, 0.241), Cl at (0.000, 0.000, 0.502) and Cl at (0.239, 0.239, 0.252).

***

Density functional theory data (PBE-GGA) for an optimized crystal structure of RbSbCl3.

As for the uncorrected formation energy: -1.2043 eV per atom. The energy above the lowest structure with this stoichiometry is 0.000 eV per formula unit.

It has space group P2_1/m (No. 11), with a = 7.278 Å, b = 6.116 Å, c = 8.479 Å, α = 90.00°, β = 112.94° and γ = 90.00°. The asymmetric unit holds Rb at (0.210, 0.250, 0.367), Sb at (0.464, 0.750, 0.988), Cl at (0.167, 0.250, 0.939), Cl at (0.265, 0.750, 0.648) and Cl at (0.398, 0.750, 0.270).